Density functional theory data (PBE+U) for crystalline RbCrMo2O8 at its relaxed geometry.

Structure (extended XYZ):
```
12
Lattice="5.3775 0.0000 0.0000 2.6888 4.6571 0.0000 2.6888 1.5524 8.5988" Properties=species:S:1:pos:R:3 pbc="T T T"
Rb 5.3775 3.1047 4.2994
Cr 0.0000 0.0000 0.0000
Mo 2.6888 1.5524 1.7018
Mo 8.0663 4.6571 6.8970
O 2.6888 1.5524 3.4632
O 4.3996 1.3001 1.1704
O 8.0663 4.6571 5.1357
O 7.4293 3.1601 1.1704
O 3.3258 3.0493 7.4284
O 4.3037 4.8539 1.1704
O 6.4514 1.3555 7.4284
O 6.3554 4.9093 7.4284
```

Computed properties:
calculated total energy = -6.957 eV per atom
space-group type = R-3 (148)
calculated density = 3.5 g/cm3